(1)
This record from Alexandria via LeMat-Bulk describes a relaxed Sm2Al3PdPt12 crystal. The functional is PBE-GGA.

a b c (Å): 7.7165 7.7165 7.7165
angles (deg): 64.83 64.83 64.83
Atoms (fractional coordinates):
Sm: 0.1099 0.1099 0.1099
Sm: 0.8901 0.8901 0.8901
Al: 0.0000 0.5000 0.5000
Al: 0.5000 0.0000 0.5000
Al: 0.5000 0.5000 0.0000
Pd: 0.5000 0.5000 0.5000
Pt: 0.1150 0.6415 0.6415
Pt: 0.1328 0.1328 0.6057
Pt: 0.1328 0.6057 0.1328
Pt: 0.3585 0.3585 0.8850
Pt: 0.3585 0.8850 0.3585
Pt: 0.3943 0.8672 0.8672
Pt: 0.6057 0.1328 0.1328
Pt: 0.6415 0.1150 0.6415
Pt: 0.6415 0.6415 0.1150
Pt: 0.8672 0.3943 0.8672
Pt: 0.8672 0.8672 0.3943
Pt: 0.8850 0.3585 0.3585

Computed properties:
The density of states at the Fermi level is 0.43 states/eV/atom. The value obtained for the total magnetic moment is 0.000 μB/f.u. The total DFT energy (no corrections) comes out at -5.87 eV/atom.

(2)
This record from Alexandria via LeMat-Bulk describes a relaxed SrGe2Ir crystal. The functional is PBE-GGA.

a b c (Å): 6.0993 6.0993 6.0993
angles (deg): 40.55 40.55 40.55
Atoms (fractional coordinates):
Sr: 0.0000 0.0000 0.0000
Ge: 0.2138 0.2138 0.2138
Ge: 0.7862 0.7862 0.7862
Ir: 0.5000 0.5000 0.5000

Computed properties:
The density of states at the Fermi level is 0.72 states/eV/atom. The value obtained for the total magnetic moment is 0.000 μB/f.u. The total DFT energy (no corrections) comes out at -5.48 eV/atom.

(3)
This record from Alexandria via LeMat-Bulk describes a relaxed Na2Tl4Ni crystal. The functional is PBE-GGA.

a b c (Å): 8.8993 8.8993 8.8993
angles (deg): 146.83 146.83 47.62
Atoms (fractional coordinates):
Na: 0.1430 0.1430 0.0000
Na: 0.8570 0.8570 0.0000
Tl: 0.0000 0.5000 0.5000
Tl: 0.3345 0.3345 0.0000
Tl: 0.5000 0.0000 0.5000
Tl: 0.6655 0.6655 0.0000
Ni: 0.5000 0.5000 0.0000

Computed properties:
The density of states at the Fermi level is 0.66 states/eV/atom. The value obtained for the total magnetic moment is 0.000 μB/f.u. The total DFT energy (no corrections) comes out at -2.50 eV/atom.

(4)
This record from Alexandria via LeMat-Bulk describes a relaxed KTaSi2P crystal. The functional is PBE-GGA.

a b c (Å): 4.8117 4.8117 4.8418
angles (deg): 90.00 90.00 90.00
Atoms (fractional coordinates):
K: 0.0000 0.0000 0.0000
Ta: 0.5000 0.5000 0.5000
Si: 0.0000 0.5000 0.0000
Si: 0.5000 0.0000 0.0000
P: 0.0000 0.0000 0.5000

Computed properties:
The uncorrected formation energy comes out at 2.485 eV/atom. The density of states at the Fermi level is 1.31 states/eV/atom. The value obtained for the total magnetic moment is 0.001 μB/f.u.

(5)
This record from Alexandria via LeMat-Bulk describes a relaxed CdNiSn4 crystal. The functional is PBE-GGA.

a b c (Å): 6.8840 6.8840 5.9438
angles (deg): 90.38 90.38 89.98
Atoms (fractional coordinates):
Cd: 0.0011 0.9989 0.7500
Cd: 0.9989 0.0011 0.2500
Ni: 0.4997 0.5003 0.2500
Ni: 0.5003 0.4997 0.7500
Sn: 0.1881 0.3703 0.9968
Sn: 0.1882 0.6297 0.4994
Sn: 0.3703 0.1881 0.4968
Sn: 0.3703 0.8118 0.0006
Sn: 0.6297 0.1882 0.9994
Sn: 0.6297 0.8119 0.5032
Sn: 0.8118 0.3703 0.5006
Sn: 0.8119 0.6297 0.0032

Computed properties:
The density of states at the Fermi level is 0.34 states/eV/atom. The value obtained for the total magnetic moment is 0.000 μB/f.u. The total DFT energy (no corrections) comes out at -3.84 eV/atom.

(6)
This record from Alexandria via LeMat-Bulk describes a relaxed CsNaCd2 crystal. The functional is PBE-GGA.

a b c (Å): 7.6661 7.6661 7.6661
angles (deg): 39.96 39.96 39.96
Atoms (fractional coordinates):
Cs: 0.0000 0.0000 0.0000
Na: 0.1877 0.1877 0.1877
Cd: 0.4667 0.4667 0.4667
Cd: 0.7978 0.7978 0.7978

Computed properties:
For the energy above the most stable polymorph in this dataset, the calculation gives 0.000 eV/f.u. The density of states at the Fermi level is 0.51 states/eV/atom. The value obtained for the total magnetic moment is 0.000 μB/f.u.